(1)
A geometry-optimized ReHg3Au structure. Source: Alexandria via LeMat-Bulk, functional PBE.

Values from the calculation:
The total energy is -10.92 eV for the cell shown. Its space group is Pm-3m, No. 221. Its crystal system is cubic. Its distance to the lowest polymorph of the same formula is 0.000 eV/atom. The value obtained for the density is 10.74 g/cm3. The calculation puts the energy relative to the elements at 5.71 eV per formula unit.

a = 5.340 Å, b = 5.340 Å, c = 5.340 Å
α = 90.00°, β = 90.00°, γ = 90.00°
Last column: magnetic moment on the atom in μB.
Atoms (fractional coordinates):
Re1 0.000 0.000 0.000  2.15
Au1 0.500 0.500 0.500  0.11
Hg1 0.000 0.500 0.000  0.07
Hg2 0.000 0.000 0.500  0.08
Hg3 0.500 0.000 0.000  0.02

---

(2)
A geometry-optimized LaZnSn2 structure. Source: Alexandria via LeMat-Bulk, functional PBE.

Values from the calculation:
The total energy is -30.13 eV for the cell shown. Its space group is I-42d, No. 122. Its crystal system is tetragonal. The value obtained for the density is 6.20 g/cm3. The calculation puts the energy relative to the elements at -0.86 eV per formula unit.

a = 4.887 Å, b = 4.887 Å, c = 10.489 Å
α = 76.53°, β = 76.53°, γ = 90.00°
Atoms (fractional coordinates):
Zn1 0.500 0.500 0.000
Zn2 0.250 0.750 0.500
Sn1 0.548 0.125 0.250
Sn2 0.202 0.625 0.250
Sn3 0.375 0.452 0.750
Sn4 0.875 0.798 0.750
La1 0.000 0.000 0.000
La2 0.750 0.250 0.500